# 1
Crystalline CuOsBrO4 at its relaxed geometry. Source: Alexandria, functional PBE.

a = 7.1702 Å, b = 7.1702 Å, c = 8.1903 Å
α = 79.97°, β = 79.97°, γ = 49.90°
Positions (direct):
Cu  0.1019  0.1019  0.9125
Cu  0.8981  0.8981  0.0875
Os  0.6765  0.6765  0.7065
Os  0.3235  0.3235  0.2935
Br  0.0526  0.0526  0.2115
Br  0.9474  0.9474  0.7885
O  0.2302  0.2302  0.4749
O  0.7698  0.7698  0.5251
O  0.0761  0.5540  0.1741
O  0.4476  0.4476  0.3400
O  0.4460  0.9240  0.8259
O  0.5540  0.0761  0.1741
O  0.5524  0.5524  0.6600
O  0.9240  0.4460  0.8259

Results
ΔE_f (raw)	-0.77	eV/atom

=====

# 2
Crystalline CaZn2I6 at its relaxed geometry. Source: Alexandria, functional PBE.

a = 7.6918 Å, b = 9.9166 Å, c = 9.9166 Å
α = 85.03°, β = 81.37°, γ = 81.37°
Positions (direct):
Ca  0.2500  0.1103  0.8897
Ca  0.7500  0.8897  0.1103
Zn  0.1961  0.6139  0.7689
Zn  0.3039  0.2311  0.3861
Zn  0.8039  0.3861  0.2311
Zn  0.6961  0.7689  0.6139
I  0.3921  0.7152  0.5522
I  0.1079  0.4478  0.2848
I  0.6079  0.2848  0.4478
I  0.8921  0.5522  0.7152
I  0.8786  0.8693  0.3929
I  0.6214  0.6071  0.1307
I  0.1214  0.1307  0.6071
I  0.3786  0.3929  0.8693
I  0.1395  0.8027  0.9600
I  0.3605  0.0400  0.1973
I  0.8605  0.1973  0.0400
I  0.6395  0.9600  0.8027

Results
ΔE_f (raw)	-0.89	eV/atom

=====

# 3
Crystalline Mg7Cd2Sn at its relaxed geometry. Source: Alexandria, functional PBE.

a = 4.8494 Å, b = 4.8494 Å, c = 11.9804 Å
α = 90.00°, β = 90.00°, γ = 120.00°
Positions (direct):
Mg  0.6667  0.3333  0.5912
Mg  0.6667  0.3333  0.8425
Mg  0.0000  0.0000  0.7355
Mg  0.0000  0.0000  0.2765
Mg  0.3333  0.6667  0.4427
Mg  0.3333  0.6667  0.9459
Mg  0.6667  0.3333  0.1167
Cd  0.3333  0.6667  0.6942
Cd  0.6667  0.3333  0.3542
Sn  0.0000  0.0000  0.0171

Results
formation energy from the elements	-0.04	eV/atom

=====

# 4
Crystalline UNb5C6 at its relaxed geometry. Source: Alexandria, functional PBE.

a = 5.5605 Å, b = 5.5999 Å, c = 5.6497 Å
α = 60.29°, β = 80.66°, γ = 70.88°
Positions (direct):
Nb  0.5000  0.1744  0.6512
Nb  0.0000  0.3307  0.3386
Nb  0.5000  0.5000  0.0000
Nb  0.0000  0.6693  0.6614
Nb  0.5000  0.8256  0.3488
U  0.0000  0.0000  0.0000
C  0.7461  0.0837  0.3353
C  0.2539  0.5810  0.3353
C  0.2450  0.2521  0.0000
C  0.7550  0.7479  0.0000
C  0.7461  0.4190  0.6647
C  0.2539  0.9163  0.6647

Results
formation energy from the elements	-0.49	eV/atom

=====

# 5
Crystalline KRbBa2Te at its relaxed geometry. Source: Alexandria, functional PBE.

a = 6.8295 Å, b = 6.8295 Å, c = 7.1710 Å
α = 90.00°, β = 90.00°, γ = 90.00°
Positions (direct):
K  0.0000  0.0000  0.5000
Te  0.0000  0.0000  0.0000
Ba  0.0000  0.5000  0.0000
Ba  0.5000  0.0000  0.0000
Rb  0.5000  0.5000  0.5000

Results
ΔE_f (raw)	-0.52	eV/atom

=====

# 6
Crystalline Mg2NiRu2 at its relaxed geometry. Source: Alexandria, functional PBE.

a = 6.5614 Å, b = 6.5614 Å, c = 3.4835 Å
α = 90.00°, β = 90.00°, γ = 90.00°
Positions (direct):
Ru  0.1642  0.6642  0.5000
Ru  0.6642  0.8358  0.5000
Ru  0.8358  0.3358  0.5000
Ru  0.3358  0.1642  0.5000
Mg  0.3597  0.8597  0.0000
Mg  0.8597  0.6403  0.0000
Mg  0.6403  0.1403  0.0000
Mg  0.1403  0.3597  0.0000
Ni  0.0000  0.0000  0.0000
Ni  0.5000  0.5000  0.0000

Results
formation energy from the elements	0.50	eV/atom

=====

# 7
Crystalline CdAsOs at its relaxed geometry. Source: Alexandria, functional PBE.

a = 4.3703 Å, b = 4.3703 Å, c = 4.3703 Å
α = 60.00°, β = 60.00°, γ = 60.00°
Positions (direct):
As  0.0000  0.0000  0.0000
Os  0.7500  0.7500  0.7500
Cd  0.5000  0.5000  0.5000

Results
formation energy from the elements	0.58	eV/atom

=====

# 8
Crystalline Er2GaTc3 at its relaxed geometry. Source: Alexandria, functional PBE.

a = 5.3178 Å, b = 5.3178 Å, c = 5.4271 Å
α = 89.97°, β = 119.35°, γ = 120.02°
Positions (direct):
Er  0.7570  0.3783  0.1353
Er  0.2430  0.6217  0.8647
Ga  0.0000  0.0000  0.0000
Tc  0.5000  0.5000  0.5000
Tc  0.0000  0.0000  0.5000
Tc  0.5000  0.0000  0.5000

Results
formation energy from the elements	-0.36	eV/atom

=====

# 9
Crystalline Ba4C3 at its relaxed geometry. Source: Alexandria, functional PBE.

a = 5.9989 Å, b = 5.9989 Å, c = 5.9989 Å
α = 90.00°, β = 90.00°, γ = 90.00°
Positions (direct):
Ba  0.0000  0.0000  0.0000
Ba  0.0000  0.5000  0.5000
Ba  0.5000  0.0000  0.5000
Ba  0.5000  0.5000  0.0000
C  0.0000  0.5000  0.0000
C  0.0000  0.0000  0.5000
C  0.5000  0.0000  0.0000

Results
formation energy from the elements	1.12	eV/atom

=====

# 10
Crystalline ZnSiSe2 at its relaxed geometry. Source: Alexandria, functional PBE.

a = 8.5760 Å, b = 8.5760 Å, c = 8.5760 Å
α = 26.09°, β = 26.09°, γ = 26.09°
Positions (direct):
Se  0.0369  0.0369  0.0369
Se  0.2249  0.2249  0.2249
Si  0.5060  0.5060  0.5060
Zn  0.7323  0.7323  0.7323

Results
ΔE_f (raw)	-0.13	eV/atom

=====

# 11
Crystalline Pm2NdScSb4 at its relaxed geometry. Source: Alexandria, functional PBE.

a = 4.4320 Å, b = 7.6621 Å, c = 7.6652 Å
α = 109.51°, β = 90.00°, γ = 90.00°
Positions (direct):
Pm  0.5000  0.0000  0.5000
Pm  0.0000  0.5000  0.5000
Nd  0.5000  0.5000  0.0000
Sc  0.0000  0.0000  0.0000
Sb  0.5000  0.2351  0.2363
Sb  0.5000  0.7649  0.7637
Sb  0.0000  0.2416  0.7558
Sb  0.0000  0.7584  0.2442

Results
ΔE_f (raw)	-1.10	eV/atom

=====

# 12
Crystalline Cs2HfNi at its relaxed geometry. Source: Alexandria, functional PBE.

a = 6.0490 Å, b = 6.0490 Å, c = 6.0490 Å
α = 60.00°, β = 60.00°, γ = 60.00°
Positions (direct):
Cs  0.2500  0.2500  0.2500
Cs  0.7500  0.7500  0.7500
Ni  0.0000  0.0000  0.0000
Hf  0.5000  0.5000  0.5000

Results
formation energy from the elements	1.70	eV/atom

=====

# 13
Crystalline La3Pr2PuN6 at its relaxed geometry. Source: Alexandria, functional PBE.

a = 6.3444 Å, b = 6.3444 Å, c = 6.3678 Å
α = 99.59°, β = 99.59°, γ = 119.88°
Positions (direct):
La  0.1647  0.8353  0.5000
La  0.8353  0.1647  0.5000
La  0.5000  0.5000  0.5000
Pr  0.3337  0.6663  0.0000
Pr  0.6663  0.3337  0.0000
Pu  0.0000  0.0000  0.0000
N  0.9236  0.6199  0.7708
N  0.7682  0.7682  0.2413
N  0.0764  0.3801  0.2292
N  0.6199  0.9236  0.7708
N  0.2318  0.2318  0.7587
N  0.3801  0.0764  0.2292

Results
ΔE_f (raw)	-1.29	eV/atom

=====

# 14
Crystalline AlZn2Pb at its relaxed geometry. Source: Alexandria, functional PBE.

a = 3.3667 Å, b = 5.8868 Å, c = 5.8631 Å
α = 46.49°, β = 90.00°, γ = 90.00°
Positions (direct):
Pb  0.0000  0.0000  0.5000
Zn  0.0000  0.0000  0.0000
Zn  0.5000  0.5000  0.0000
Al  0.5000  0.5000  0.5000

Results
formation energy from the elements	0.25	eV/atom

=====

# 15
Crystalline AlReMo2 at its relaxed geometry. Source: Alexandria, functional PBE.

a = 3.1883 Å, b = 3.1883 Å, c = 5.9966 Å
α = 90.00°, β = 90.00°, γ = 90.00°
Positions (direct):
Re  0.0000  0.0000  0.5050
Mo  0.0000  0.0000  0.9973
Mo  0.5000  0.5000  0.2514
Al  0.5000  0.5000  0.7463

Results
formation energy from the elements	-0.02	eV/atom

=====

# 16
Crystalline AgHgBr4 at its relaxed geometry. Source: Alexandria, functional PBE.

a = 6.3474 Å, b = 6.3474 Å, c = 6.3474 Å
α = 60.00°, β = 60.00°, γ = 60.00°
Positions (direct):
Ag  0.0000  0.0000  0.0000
Hg  0.7500  0.7500  0.7500
Br  0.8745  0.3752  0.3752
Br  0.3752  0.3752  0.8745
Br  0.3752  0.8745  0.3752
Br  0.3752  0.3752  0.3752

Results
ΔE_f (raw)	0.48	eV/atom

=====

# 17
Crystalline Ho3Si3Pt2 at its relaxed geometry. Source: Alexandria, functional PBE.

a = 4.2649 Å, b = 5.5778 Å, c = 14.1192 Å
α = 90.00°, β = 90.00°, γ = 112.48°
Positions (direct):
Ho  0.9093  0.8186  0.3887
Ho  0.0907  0.1814  0.8887
Ho  0.9093  0.8186  0.1113
Ho  0.0907  0.1814  0.6113
Ho  0.6299  0.2597  0.2500
Ho  0.3701  0.7403  0.7500
Si  0.6124  0.2248  0.4653
Si  0.3876  0.7752  0.9653
Si  0.6124  0.2248  0.0347
Si  0.3876  0.7752  0.5347
Si  0.3349  0.6698  0.2500
Si  0.6651  0.3302  0.7500
Pt  0.8043  0.6086  0.8987
Pt  0.1957  0.3914  0.3987
Pt  0.8043  0.6086  0.6013
Pt  0.1957  0.3914  0.1013

Results
ΔE_f (raw)	-1.12	eV/atom

=====

# 18
Crystalline Ag3Ir at its relaxed geometry. Source: Alexandria, functional PBE.

a = 2.7630 Å, b = 4.8124 Å, c = 5.0639 Å
α = 90.00°, β = 90.00°, γ = 90.00°
Positions (direct):
Ir  0.0000  0.5000  0.3303
Ag  0.0000  0.0000  0.0091
Ag  0.5000  0.0000  0.4990
Ag  0.5000  0.5000  0.8282

Results
formation energy from the elements	0.33	eV/atom

=====

# 19
Crystalline CrSbOs at its relaxed geometry. Source: Alexandria, functional PBE.

a = 4.2766 Å, b = 4.2766 Å, c = 4.2766 Å
α = 60.00°, β = 60.00°, γ = 60.00°
Positions (direct):
Cr  0.5000  0.5000  0.5000
Os  0.7500  0.7500  0.7500
Sb  0.0000  0.0000  0.0000

Results
ΔE_f (raw)	0.26	eV/atom

=====

# 20
Crystalline Nd6Al2Pd at its relaxed geometry. Source: Alexandria, functional PBE.

a = 5.8050 Å, b = 9.0025 Å, c = 10.1692 Å
α = 90.00°, β = 87.39°, γ = 90.00°
Positions (direct):
Nd  0.9354  0.9843  0.2186
Nd  0.9340  0.6817  0.5653
Nd  0.9411  0.6621  0.9342
Nd  0.5589  0.1621  0.5658
Nd  0.5660  0.1817  0.9347
Nd  0.5646  0.4843  0.2814
Nd  0.0646  0.0157  0.7814
Nd  0.0660  0.3183  0.4347
Nd  0.0589  0.3379  0.0658
Nd  0.4411  0.8379  0.4342
Nd  0.4340  0.8183  0.0653
Nd  0.4354  0.5157  0.7186
Al  0.9438  0.3605  0.7475
Al  0.5562  0.8605  0.7525
Al  0.4438  0.1395  0.2475
Al  0.0562  0.6395  0.2525
Pd  0.5000  0.5000  0.0000
Pd  0.0000  0.0000  0.5000

Results
formation energy from the elements	-0.23	eV/atom

=====

Short version: theoretical density = 4.18; 4.20; 3.50; 8.91; 2.62; 6.85; 10.62; 10.58; 4.50; 3.88; 6.54; 5.34; 8.13; 7.19; 11.03; 5.77; 10.37; 12.72; 10.93; 6.42 g/cm³, in the order given.